Material: ScBe2Al
Method: DFT, PBE-GGA
State: optimized geometry

Computed properties:
**Symmetry**: Imm2, No. 44

a = 5.2748 Å, b = 5.2748 Å, c = 5.2748 Å
α = 142.65°, β = 137.10°, γ = 58.16°
Closest atoms and distances in Å follow each position.
Element x y z (fractional)
Sc1 0.0000 0.0000 0.0000  8 Be 2.73-2.95, 4 Al 2.92-2.95
Be1 0.6009 0.6009 0.0000  2 Be 2.13
Be2 0.7422 0.2422 0.5000  2 Be 2.13
Al1 0.2626 0.7626 0.5000  6 Be 2.44-2.57

=====

Material: LaTaMo2
Method: DFT, PBE-GGA
State: optimized geometry

Computed properties:
**Symmetry**: F-43m, No. 216

a = 4.7593 Å, b = 4.7593 Å, c = 4.7593 Å
α = 60.00°, β = 60.00°, γ = 60.00°
Closest atoms and distances in Å follow each position.
Element x y z (fractional)
La1 0.0000 0.0000 0.0000  4 Ta 2.91, 4 Mo 2.91
Ta1 0.7500 0.7500 0.7500  4 La 2.91, 4 Mo 2.91
Mo1 0.2500 0.2500 0.2500  4 La 2.91, 4 Mo 2.91
Mo2 0.5000 0.5000 0.5000  4 Ta 2.91, 4 Mo 2.91

=====

no.,DFT formation energy (meV/atom)
1,95
2,512